# CeThGaTc, optimized geometry, DFT GGA-PBE
data_CeThGaTc
_cell_length_a 5.072
_cell_length_b 5.072
_cell_length_c 5.072
_cell_angle_alpha 60.00
_cell_angle_beta 60.00
_cell_angle_gamma 60.00
_space_group_name_H-M_alt 'P 1'
_space_group_IT_number 1
_space_group_name_Hall 'P 1'
loop_
_atom_site_label
_atom_site_type_symbol
_atom_site_fract_x
_atom_site_fract_y
_atom_site_fract_z
_atom_site_occupancy
Ga1 Ga 0.750 0.750 0.750 1
Th1 Th 0.000 0.000 0.000 1
Ce1 Ce 0.500 0.500 0.500 1
Tc1 Tc 0.250 0.250 0.250 1
# volume: 23.1 Å³ per atom
# energy relative to the elements: -0.183 eV per atom
# polymorph energy (0 for the lowest one): 0.1555 eV per atom
# total magnetic moment: 0.00 μB/f.u.
# E_tot: -6.87 eV/atom

---

# CaLa3Ir, optimized geometry, DFT GGA-PBE
data_CaLa3Ir
_cell_length_a 10.740
_cell_length_b 10.740
_cell_length_c 10.740
_cell_angle_alpha 60.00
_cell_angle_beta 60.00
_cell_angle_gamma 60.00
_space_group_name_H-M_alt 'P 1'
_space_group_IT_number 1
_space_group_name_Hall 'P 1'
loop_
_atom_site_label
_atom_site_type_symbol
_atom_site_fract_x
_atom_site_fract_y
_atom_site_fract_z
_atom_site_occupancy
Ir1 Ir 0.625 0.625 0.625 1
Ir2 Ir 0.625 0.625 0.125 1
Ir3 Ir 0.625 0.125 0.625 1
Ir4 Ir 0.125 0.625 0.625 1
La1 La 0.311 0.689 0.311 1
La2 La 0.561 0.561 0.939 1
La3 La 0.689 0.311 0.311 1
La4 La 0.939 0.561 0.939 1
La5 La 0.561 0.939 0.939 1
La6 La 0.561 0.939 0.561 1
La7 La 0.689 0.311 0.689 1
La8 La 0.689 0.689 0.311 1
La9 La 0.939 0.561 0.561 1
La10 La 0.311 0.689 0.689 1
La11 La 0.939 0.939 0.561 1
La12 La 0.311 0.311 0.689 1
Ca1 Ca 0.125 0.125 0.625 1
Ca2 Ca 0.625 0.125 0.125 1
Ca3 Ca 0.125 0.625 0.125 1
Ca4 Ca 0.125 0.125 0.125 1
# volume: 43.8 Å³ per atom
# energy relative to the elements: -0.127 eV per atom
# polymorph energy (0 for the lowest one): 0.2236 eV per atom
# total magnetic moment: 0.00 μB/f.u.
# E_tot: -5.26 eV/atom

---

# NdSi2Ni, optimized geometry, DFT GGA-PBE
data_NdSi2Ni
_cell_length_a 4.008
_cell_length_b 6.843
_cell_length_c 10.251
_cell_angle_alpha 90.00
_cell_angle_beta 90.00
_cell_angle_gamma 90.00
_space_group_name_H-M_alt 'P 1'
_space_group_IT_number 1
_space_group_name_Hall 'P 1'
loop_
_atom_site_label
_atom_site_type_symbol
_atom_site_fract_x
_atom_site_fract_y
_atom_site_fract_z
_atom_site_occupancy
Nd1 Nd 0.750 0.656 0.626 1
Nd2 Nd 0.250 0.344 0.374 1
Nd3 Nd 0.250 0.844 0.126 1
Nd4 Nd 0.750 0.156 0.874 1
Si1 Si 0.250 0.342 0.070 1
Si2 Si 0.250 0.331 0.672 1
Si3 Si 0.750 0.158 0.570 1
Si4 Si 0.750 0.658 0.930 1
Si5 Si 0.250 0.831 0.828 1
Si6 Si 0.250 0.842 0.430 1
Si7 Si 0.750 0.169 0.172 1
Si8 Si 0.750 0.669 0.328 1
Ni1 Ni 0.250 0.499 0.865 1
Ni2 Ni 0.750 0.001 0.365 1
Ni3 Ni 0.750 0.501 0.135 1
Ni4 Ni 0.250 0.999 0.635 1
# volume: 17.6 Å³ per atom
# formation energy (no corrections): -773 meV per atom
# total magnetic moment: 0.00 μB/f.u.
# E_tot: -6.12 eV/atom

---

# KBa2O2, optimized geometry, DFT GGA-PBE
data_KBa2O2
_cell_length_a 7.682
_cell_length_b 7.682
_cell_length_c 3.859
_cell_angle_alpha 90.00
_cell_angle_beta 90.00
_cell_angle_gamma 90.00
_space_group_name_H-M_alt 'P 1'
_space_group_IT_number 1
_space_group_name_Hall 'P 1'
loop_
_atom_site_label
_atom_site_type_symbol
_atom_site_fract_x
_atom_site_fract_y
_atom_site_fract_z
_atom_site_occupancy
O1 O 0.333 0.833 0.000 1
O2 O 0.833 0.667 0.000 1
O3 O 0.167 0.333 0.000 1
O4 O 0.667 0.167 0.000 1
Ba1 Ba 0.158 0.658 0.500 1
Ba2 Ba 0.342 0.158 0.500 1
Ba3 Ba 0.658 0.842 0.500 1
Ba4 Ba 0.842 0.342 0.500 1
K1 K 0.500 0.500 0.000 1
K2 K 0.000 0.000 0.000 1
# volume: 22.8 Å³ per atom
# polymorph energy (0 for the lowest one): 0.2681 eV per atom
# formation energy (no corrections): -1523 meV per atom
# total magnetic moment: 0.00 μB/f.u.
# E_tot: -4.49 eV/atom

---

# CeSmDy2P4, optimized geometry, DFT GGA-PBE
data_CeSmDy2P4
_cell_length_a 4.052
_cell_length_b 7.016
_cell_length_c 7.005
_cell_angle_alpha 109.42
_cell_angle_beta 90.00
_cell_angle_gamma 90.00
_space_group_name_H-M_alt 'P 1'
_space_group_IT_number 1
_space_group_name_Hall 'P 1'
loop_
_atom_site_label
_atom_site_type_symbol
_atom_site_fract_x
_atom_site_fract_y
_atom_site_fract_z
_atom_site_occupancy
Ce1 Ce 0.500 0.500 0.000 1
P1 P 0.500 0.746 0.746 1
P2 P 0.000 0.749 0.254 1
P3 P 0.000 0.251 0.746 1
P4 P 0.500 0.254 0.254 1
Dy1 Dy 0.500 0.000 0.500 1
Dy2 Dy 0.000 0.500 0.500 1
Sm1 Sm 0.000 0.000 0.000 1
# volume: 23.5 Å³ per atom
# energy relative to the elements: -1.579 eV per atom
# total magnetic moment: 0.43 μB/f.u.
# E_tot: -6.77 eV/atom

---

# RbSrAs, optimized geometry, DFT GGA-PBE
data_RbSrAs
_cell_length_a 9.095
_cell_length_b 5.303
_cell_length_c 9.095
_cell_angle_alpha 90.00
_cell_angle_beta 90.00
_cell_angle_gamma 90.00
_space_group_name_H-M_alt 'P 1'
_space_group_IT_number 1
_space_group_name_Hall 'P 1'
loop_
_atom_site_label
_atom_site_type_symbol
_atom_site_fract_x
_atom_site_fract_y
_atom_site_fract_z
_atom_site_occupancy
As1 As 0.301 0.250 0.395 1
As2 As 0.801 0.250 0.105 1
As3 As 0.199 0.750 0.895 1
As4 As 0.699 0.750 0.605 1
Sr1 Sr 0.852 0.750 0.918 1
Sr2 Sr 0.148 0.250 0.082 1
Sr3 Sr 0.648 0.250 0.418 1
Sr4 Sr 0.352 0.750 0.582 1
Rb1 Rb 0.482 0.750 0.166 1
Rb2 Rb 0.982 0.750 0.334 1
Rb3 Rb 0.518 0.250 0.834 1
Rb4 Rb 0.018 0.250 0.666 1
# volume: 36.6 Å³ per atom
# energy relative to the elements: -0.788 eV per atom
# total magnetic moment: 0.00 μB/f.u.
# E_tot: -3.22 eV/atom

---

# Y2Co2Ir, optimized geometry, DFT GGA-PBE
data_Y2Co2Ir
_cell_length_a 3.366
_cell_length_b 3.366
_cell_length_c 8.695
_cell_angle_alpha 78.84
_cell_angle_beta 78.84
_cell_angle_gamma 90.00
_space_group_name_H-M_alt 'P 1'
_space_group_IT_number 1
_space_group_name_Hall 'P 1'
loop_
_atom_site_label
_atom_site_type_symbol
_atom_site_fract_x
_atom_site_fract_y
_atom_site_fract_z
_atom_site_occupancy
Co1 Co 0.750 0.250 0.500 1
Co2 Co 0.250 0.750 0.500 1
Y1 Y 0.605 0.605 0.791 1
Y2 Y 0.395 0.395 0.209 1
Ir1 Ir 0.000 0.000 0.000 1
# volume: 19.0 Å³ per atom
# energy relative to the elements: -0.212 eV per atom
# polymorph energy (0 for the lowest one): 0.0905 eV per atom
# total magnetic moment: 2.79 μB/f.u.
# E_tot: -7.41 eV/atom

---

# PmBOs, optimized geometry, DFT GGA-PBE
data_PmBOs
_cell_length_a 5.023
_cell_length_b 6.494
_cell_length_c 6.499
_cell_angle_alpha 52.35
_cell_angle_beta 58.05
_cell_angle_gamma 58.02
_space_group_name_H-M_alt 'P 1'
_space_group_IT_number 1
_space_group_name_Hall 'P 1'
loop_
_atom_site_label
_atom_site_type_symbol
_atom_site_fract_x
_atom_site_fract_y
_atom_site_fract_z
_atom_site_occupancy
Os1 Os 0.411 0.283 0.990 1
Os2 Os 0.911 0.304 0.969 1
B1 B 0.775 0.432 0.636 1
B2 B 0.274 0.950 0.119 1
Pm1 Pm 0.448 0.360 0.465 1
Pm2 Pm 0.947 0.778 0.048 1
# volume: 22.6 Å³ per atom
# energy relative to the elements: 0.249 eV per atom
# polymorph energy (0 for the lowest one): 0.5340 eV per atom
# total magnetic moment: 0.00 μB/f.u.
# E_tot: -7.30 eV/atom

---

# Nd3Cd7Ag2, optimized geometry, DFT GGA-PBE
data_Nd3Cd7Ag2
_cell_length_a 5.935
_cell_length_b 5.935
_cell_length_c 10.170
_cell_angle_alpha 73.03
_cell_angle_beta 73.03
_cell_angle_gamma 60.00
_space_group_name_H-M_alt 'P 1'
_space_group_IT_number 1
_space_group_name_Hall 'P 1'
loop_
_atom_site_label
_atom_site_type_symbol
_atom_site_fract_x
_atom_site_fract_y
_atom_site_fract_z
_atom_site_occupancy
Cd1 Cd 0.416 0.416 0.246 1
Cd2 Cd 0.584 0.584 0.754 1
Cd3 Cd 0.500 0.500 0.500 1
Cd4 Cd 0.923 0.416 0.246 1
Cd5 Cd 0.584 0.077 0.754 1
Cd6 Cd 0.077 0.584 0.754 1
Cd7 Cd 0.416 0.923 0.246 1
Nd1 Nd 0.859 0.859 0.424 1
Nd2 Nd 0.141 0.141 0.576 1
Nd3 Nd 0.000 0.000 0.000 1
Ag1 Ag 0.666 0.666 0.003 1
Ag2 Ag 0.334 0.334 0.997 1
# volume: 24.3 Å³ per atom
# energy relative to the elements: -0.244 eV per atom
# total magnetic moment: 0.00 μB/f.u.
# E_tot: -2.45 eV/atom

---

# Pm3Pr2ErTe6, optimized geometry, DFT GGA-PBE
data_Pm3Pr2ErTe6
_cell_length_a 4.433
_cell_length_b 8.980
_cell_length_c 9.977
_cell_angle_alpha 102.31
_cell_angle_beta 102.84
_cell_angle_gamma 90.00
_space_group_name_H-M_alt 'P 1'
_space_group_IT_number 1
_space_group_name_Hall 'P 1'
loop_
_atom_site_label
_atom_site_type_symbol
_atom_site_fract_x
_atom_site_fract_y
_atom_site_fract_z
_atom_site_occupancy
Te1 Te 0.003 0.760 0.005 1
Te2 Te 0.337 0.415 0.673 1
Te3 Te 0.997 0.240 0.995 1
Te4 Te 0.340 0.924 0.680 1
Te5 Te 0.663 0.585 0.327 1
Te6 Te 0.660 0.076 0.320 1
Er1 Er 0.500 0.000 0.000 1
Pm1 Pm 0.500 0.500 0.000 1
Pm2 Pm 0.826 0.165 0.652 1
Pm3 Pm 0.174 0.835 0.348 1
Pr1 Pr 0.829 0.664 0.659 1
Pr2 Pr 0.171 0.336 0.341 1
# volume: 31.5 Å³ per atom
# formation energy (no corrections): -1387 meV per atom
# total magnetic moment: 0.00 μB/f.u.
# E_tot: -5.32 eV/atom